The following is a DFT calculation (PBE+U) of SbWI2F after structural relaxation.

Cell lengths 5.874, 5.874, 4.232 Å; angles 90.00, 90.00, 90.00 degrees
Last column: magnetic moment on the atom in μB.
Atoms (fractional coordinates):
I1 0.000 0.500 0.000  -0.04
I2 0.500 0.000 0.000  -0.04
Sb1 0.000 0.000 0.500  -0.14
W1 0.500 0.500 0.500  3.82
F1 0.000 0.000 0.000  0.00

## Properties
Offset from the most stable computed form in eV/atom: 0.111
Uncorrected energy in eV per cell: -14.25
Space-group type: P4/mmm (123)
N(E_F) in states/eV/atom: 0.4955
Theoretical density in g/cm³: 6.6
Calculated volume in Å³/cell: 146.0